1.
# TlP2Se, relaxed, DFT PBE-GGA
data_TlP2Se
_cell_length_a 3.481
_cell_length_b 4.999
_cell_length_c 5.828
_cell_angle_alpha 90.00
_cell_angle_beta 90.00
_cell_angle_gamma 90.00
_space_group_name_H-M_alt 'P 1 2/m 1'
_space_group_IT_number 10
_space_group_name_Hall '-P 2y'
loop_
_atom_site_label
_atom_site_type_symbol
_atom_site_fract_x
_atom_site_fract_y
_atom_site_fract_z
Tl1 Tl 0.000 0.000 0.000
P1 P 0.252 0.500 0.382
Se1 Se 0.500 0.000 0.500
# * formation energy (no corrections): 106 meV/atom
# * spin magnetization: 0.00 μB per cell


2.
# Co2Cu2Tc, relaxed, DFT PBE-GGA
data_Co2Cu2Tc
_cell_length_a 7.002
_cell_length_b 7.002
_cell_length_c 2.512
_cell_angle_alpha 90.00
_cell_angle_beta 90.00
_cell_angle_gamma 90.00
_space_group_name_H-M_alt 'P 4/m b m'
_space_group_IT_number 127
_space_group_name_Hall '-P 4 2ab'
loop_
_atom_site_label
_atom_site_type_symbol
_atom_site_fract_x
_atom_site_fract_y
_atom_site_fract_z
Co1 Co 0.117 0.383 0.000
Cu1 Cu 0.179 0.679 0.500
Tc1 Tc 0.000 0.000 0.000
# * E_form: 0.39 eV/atom
# * spin magnetization: 7.66 μB per cell


3.
# LiTl2Hg, relaxed, DFT PBE-GGA
data_LiTl2Hg
_cell_length_a 11.562
_cell_length_b 3.718
_cell_length_c 5.111
_cell_angle_alpha 90.00
_cell_angle_beta 113.54
_cell_angle_gamma 90.00
_space_group_name_H-M_alt 'C 1 m 1'
_space_group_IT_number 8
_space_group_name_Hall 'C -2y'
loop_
_atom_site_label
_atom_site_type_symbol
_atom_site_fract_x
_atom_site_fract_y
_atom_site_fract_z
Li1 Li 0.000 0.000 0.000
Tl1 Tl 0.262 0.000 0.784
Tl2 Tl 0.482 0.000 0.489
Hg1 Hg 0.201 0.500 0.225
# * E_form: -0.11 eV/atom
# * spin magnetization: 0.00 μB per cell


4.
# VAsRh2Cl, relaxed, DFT PBE-GGA
data_VAsRh2Cl
_cell_length_a 4.580
_cell_length_b 4.580
_cell_length_c 4.772
_cell_angle_alpha 90.00
_cell_angle_beta 90.00
_cell_angle_gamma 90.00
_space_group_name_H-M_alt 'P 4/m m m'
_space_group_IT_number 123
_space_group_name_Hall '-P 4 2'
loop_
_atom_site_label
_atom_site_type_symbol
_atom_site_fract_x
_atom_site_fract_y
_atom_site_fract_z
V1 V 0.000 0.000 0.000
As1 As 0.000 0.000 0.500
Rh1 Rh 0.000 0.500 0.500
Cl1 Cl 0.500 0.500 0.000
# * formation energy (no corrections): 729 meV/atom
# * spin magnetization: 0.97 μB per cell


5.
# Tl3BF6, relaxed, DFT PBE-GGA
data_Tl3BF6
_cell_length_a 8.061
_cell_length_b 8.157
_cell_length_c 10.616
_cell_angle_alpha 90.00
_cell_angle_beta 90.00
_cell_angle_gamma 90.00
_space_group_name_H-M_alt 'F m m m'
_space_group_IT_number 69
_space_group_name_Hall '-F 2 2'
loop_
_atom_site_label
_atom_site_type_symbol
_atom_site_fract_x
_atom_site_fract_y
_atom_site_fract_z
Tl1 Tl 0.000 0.000 0.000
Tl2 Tl 0.250 0.250 0.250
B1 B 0.000 0.000 0.500
F1 F 0.000 0.000 0.255
F2 F 0.132 0.130 0.500
# * formation energy (no corrections): -1938 meV/atom
# * spin magnetization: 0.00 μB per cell


6.
# NaTlS2, relaxed, DFT PBE-GGA
data_NaTlS2
_cell_length_a 5.818
_cell_length_b 5.818
_cell_length_c 11.015
_cell_angle_alpha 90.00
_cell_angle_beta 90.00
_cell_angle_gamma 90.00
_space_group_name_H-M_alt 'I 41/a m d'
_space_group_IT_number 141
loop_
_space_group_symop_operation_xyz
'x,y,z'
'-x,-y,-z'
'-y+1/4,x+3/4,z+1/4'
'y+1/4,-x+3/4,-z+1/4'
'-x+1/2,-y,z+1/2'
'x+1/2,y,-z+1/2'
'y+1/4,-x+1/4,z+3/4'
'-y+1/4,x+1/4,-z+3/4'
'x,-y,-z'
'-x,y,z'
'-y+1/4,-x+1/4,-z+3/4'
'y+1/4,x+1/4,z+3/4'
'-x+1/2,y,-z+1/2'
'x+1/2,-y,z+1/2'
'y+1/4,x+3/4,-z+1/4'
'-y+1/4,-x+3/4,z+1/4'
'x+1/2,y+1/2,z+1/2'
'-x+1/2,-y+1/2,-z+1/2'
'-y+3/4,x+1/4,z+3/4'
'y+3/4,-x+1/4,-z+3/4'
'-x,-y+1/2,z'
'x,y+1/2,-z'
'y+3/4,-x+3/4,z+1/4'
'-y+3/4,x+3/4,-z+1/4'
'x+1/2,-y+1/2,-z+1/2'
'-x+1/2,y+1/2,z+1/2'
'-y+3/4,-x+3/4,-z+1/4'
'y+3/4,x+3/4,z+1/4'
'-x,y+1/2,-z'
'x,-y+1/2,z'
'y+3/4,x+1/4,-z+3/4'
'-y+3/4,-x+1/4,z+3/4'
loop_
_atom_site_label
_atom_site_type_symbol
_atom_site_fract_x
_atom_site_fract_y
_atom_site_fract_z
Na1 Na 0.000 0.250 0.375
Tl1 Tl 0.000 0.250 0.875
S1 S 0.000 0.250 0.104
# * formation energy (no corrections): -510 meV/atom
# * spin magnetization: 0.00 μB per cell


7.
# ReAgIr2, relaxed, DFT PBE-GGA
data_ReAgIr2
_cell_length_a 2.794
_cell_length_b 4.728
_cell_length_c 9.512
_cell_angle_alpha 90.00
_cell_angle_beta 90.00
_cell_angle_gamma 90.00
_space_group_name_H-M_alt 'C m m m'
_space_group_IT_number 65
_space_group_name_Hall '-C 2 2'
loop_
_atom_site_label
_atom_site_type_symbol
_atom_site_fract_x
_atom_site_fract_y
_atom_site_fract_z
Re1 Re 0.000 0.000 0.000
Ag1 Ag 0.000 0.000 0.500
Ir1 Ir 0.000 0.500 0.235
# * E_form: 0.32 eV/atom
# * spin magnetization: 0.00 μB per cell


8.
# BeIrBr, relaxed, DFT PBE-GGA
data_BeIrBr
_cell_length_a 2.940
_cell_length_b 5.017
_cell_length_c 13.894
_cell_angle_alpha 90.00
_cell_angle_beta 90.00
_cell_angle_gamma 90.00
_space_group_name_H-M_alt 'F m m 2'
_space_group_IT_number 42
_space_group_name_Hall 'F 2 -2'
loop_
_atom_site_label
_atom_site_type_symbol
_atom_site_fract_x
_atom_site_fract_y
_atom_site_fract_z
Be1 Be 0.000 0.000 0.000
Ir1 Ir 0.000 0.000 0.620
Br1 Br 0.000 0.000 0.367
# * formation energy (no corrections): 396 meV/atom
# * spin magnetization: 0.00 μB per cell


9.
# Zn2InCo, relaxed, DFT PBE-GGA
data_Zn2InCo
_cell_length_a 2.9949
_cell_length_b 2.9949
_cell_length_c 25.7740
_cell_angle_alpha 90.00
_cell_angle_beta 90.00
_cell_angle_gamma 120.00
_space_group_name_H-M_alt 'R -3 m'
_space_group_IT_number 166
_space_group_name_Hall '-R 3 2"'
loop_
_atom_site_label
_atom_site_type_symbol
_atom_site_fract_x
_atom_site_fract_y
_atom_site_fract_z
Zn1 Zn 0.0000 0.0000 0.2382
In1 In 0.0000 0.0000 0.0000
Co1 Co 0.0000 0.0000 0.5000
# * E_form: 0.23 eV/atom
# * spin magnetization: 3.76 μB per cell


10.
# SrNi2Rh, relaxed, DFT PBE-GGA
data_SrNi2Rh
_cell_length_a 4.2056
_cell_length_b 4.2056
_cell_length_c 15.6622
_cell_angle_alpha 90.00
_cell_angle_beta 90.00
_cell_angle_gamma 120.00
_space_group_name_H-M_alt 'R 3 m'
_space_group_IT_number 160
_space_group_name_Hall 'R 3 -2"'
loop_
_atom_site_label
_atom_site_type_symbol
_atom_site_fract_x
_atom_site_fract_y
_atom_site_fract_z
Sr1 Sr 0.0000 0.0000 0.0000
Ni1 Ni 0.0000 0.0000 0.1844
Ni2 Ni 0.0000 0.0000 0.4958
Rh1 Rh 0.0000 0.0000 0.8133
# * E_form: -0.09 eV/atom
# * spin magnetization: 1.76 μB per cell


11.
# NaAc2BO5, relaxed, DFT PBE-GGA
data_NaAc2BO5
_cell_length_a 7.308
_cell_length_b 7.308
_cell_length_c 9.443
_cell_angle_alpha 90.00
_cell_angle_beta 90.00
_cell_angle_gamma 90.00
_space_group_name_H-M_alt 'I 4/m c m'
_space_group_IT_number 140
_space_group_name_Hall '-I 4 2c'
loop_
_atom_site_label
_atom_site_type_symbol
_atom_site_fract_x
_atom_site_fract_y
_atom_site_fract_z
Na1 Na 0.000 0.000 0.250
Ac1 Ac 0.187 0.313 0.000
B1 B 0.000 0.500 0.250
O1 O 0.000 0.000 0.000
O2 O 0.118 0.382 0.343
# * formation energy (no corrections): -2821 meV/atom
# * spin magnetization: 0.00 μB per cell


no.,ρ (g/cm3)
1,5.65
2,9.25
3,10.16
4,6.09
5,7.02
6,5.19
7,17.93
8,9.11
9,7.58
10,6.39
11,7.48